## CeDy3Th2As6 (GGA-PBE)

Data for an optimized crystal structure of CeDy3Th2As6.

Unit cell a=18.2172 b=4.1919 c=8.3453 alpha=90.00 beta=102.97 gamma=90.00
Last column: nearest neighbours and their distance in Å.
Space group C2/m (No. 12)
Inequivalent atoms, fractional coordinates:
Ce  0.0000  0.0000  0.0000 x2  6 As 2.98
Dy  0.0000  0.0000  0.5000 x2  6 As 2.93-2.94
Dy  0.1663  0.5000  0.8335 x4  6 As 2.92-2.94
Th  0.1660  0.5000  0.3324 x4  6 As 2.98-3.00
As  0.0016  0.5000  0.7471 x4  3 Dy 2.92-2.94, 1 Th 2.98, 2 Ce 2.98
As  0.1651  0.0000  0.5878 x4  3 Dy 2.93, 3 Th 2.99-3.00
As  0.1681  0.0000  0.0790 x4  3 Dy 2.93-2.94, 2 Th 2.98, 1 Ce 2.98

## Properties
Volume = 311 Å³/f.u.
Crystal system = monoclinic
Magnetization = 0.78 μB per formula unit
E_form = -1.480 eV/atom